#P
# La3Sm8 | Alexandria via LeMat-Bulk | GGA-PBE | relaxed
data_La3Sm8
_cell_length_a 7.223
_cell_length_b 7.223
_cell_length_c 7.223
_cell_angle_alpha 86.57
_cell_angle_beta 86.57
_cell_angle_gamma 86.57
_symmetry_space_group_name_H-M 'P 1'
_symmetry_Int_Tables_number 1
_symmetry_space_group_name_Hall 'P 1'
loop_
_atom_site_label
_atom_site_type_symbol
_atom_site_fract_x
_atom_site_fract_y
_atom_site_fract_z
La1 La 0.000 0.500 0.500
La2 La 0.500 0.000 0.500
La3 La 0.500 0.500 0.000
Sm1 Sm 0.107 0.859 0.694
Sm2 Sm 0.141 0.306 0.893
Sm3 Sm 0.306 0.893 0.141
Sm4 Sm 0.379 0.379 0.379
Sm5 Sm 0.621 0.621 0.621
Sm6 Sm 0.694 0.107 0.859
Sm7 Sm 0.859 0.694 0.107
Sm8 Sm 0.893 0.141 0.306
# V, Å³ per cell: 374.85

---

#Q
# La3Sm8 | Alexandria via LeMat-Bulk | GGA-PBE | relaxed
data_La3Sm8
_cell_length_a 6.360
_cell_length_b 6.360
_cell_length_c 13.229
_cell_angle_alpha 103.79
_cell_angle_beta 103.79
_cell_angle_gamma 47.94
_symmetry_space_group_name_H-M 'P 1'
_symmetry_Int_Tables_number 1
_symmetry_space_group_name_Hall 'P 1'
loop_
_atom_site_label
_atom_site_type_symbol
_atom_site_fract_x
_atom_site_fract_y
_atom_site_fract_z
La1 La 0.000 0.000 0.000
La2 La 0.091 0.091 0.638
La3 La 0.909 0.909 0.362
Sm1 Sm 0.181 0.181 0.273
Sm2 Sm 0.273 0.273 0.909
Sm3 Sm 0.363 0.363 0.545
Sm4 Sm 0.454 0.454 0.181
Sm5 Sm 0.546 0.546 0.819
Sm6 Sm 0.637 0.637 0.455
Sm7 Sm 0.727 0.727 0.091
Sm8 Sm 0.819 0.819 0.727
# V, Å³ per cell: 383.47

---

#Q wins, 419 meV per atom ahead of the next structure.

---

#P
# LaSm4 | Alexandria via LeMat-Bulk | GGA-PBE | relaxed
data_LaSm4
_cell_length_a 3.655
_cell_length_b 3.655
_cell_length_c 15.042
_cell_angle_alpha 96.98
_cell_angle_beta 96.98
_cell_angle_gamma 59.92
_symmetry_space_group_name_H-M 'P 1'
_symmetry_Int_Tables_number 1
_symmetry_space_group_name_Hall 'P 1'
loop_
_atom_site_label
_atom_site_type_symbol
_atom_site_fract_x
_atom_site_fract_y
_atom_site_fract_z
La1 La 0.000 0.000 0.000
Sm1 Sm 0.199 0.199 0.599
Sm2 Sm 0.400 0.400 0.203
Sm3 Sm 0.600 0.600 0.797
Sm4 Sm 0.801 0.801 0.401
# V, Å³ per cell: 172.19

---

#Q
# LaSm4 | Alexandria via LeMat-Bulk | GGA-PBE | relaxed
data_LaSm4
_cell_length_a 5.744
_cell_length_b 5.744
_cell_length_c 5.744
_cell_angle_alpha 90.00
_cell_angle_beta 90.00
_cell_angle_gamma 90.00
_symmetry_space_group_name_H-M 'P 1'
_symmetry_Int_Tables_number 1
_symmetry_space_group_name_Hall 'P 1'
loop_
_atom_site_label
_atom_site_type_symbol
_atom_site_fract_x
_atom_site_fract_y
_atom_site_fract_z
La1 La 0.000 0.000 0.000
Sm1 Sm 0.000 0.000 0.500
Sm2 Sm 0.000 0.500 0.000
Sm3 Sm 0.500 0.000 0.000
Sm4 Sm 0.500 0.500 0.500
# V, Å³ per cell: 189.53

---

#R
# LaSm4 | Alexandria via LeMat-Bulk | GGA-PBE | relaxed
data_LaSm4
_cell_length_a 6.375
_cell_length_b 6.375
_cell_length_c 9.671
_cell_angle_alpha 100.43
_cell_angle_beta 100.43
_cell_angle_gamma 110.93
_symmetry_space_group_name_H-M 'P 1'
_symmetry_Int_Tables_number 1
_symmetry_space_group_name_Hall 'P 1'
loop_
_atom_site_label
_atom_site_type_symbol
_atom_site_fract_x
_atom_site_fract_y
_atom_site_fract_z
La1 La 0.172 0.828 0.000
La2 La 0.828 0.172 0.000
Sm1 Sm 0.041 0.637 0.319
Sm2 Sm 0.239 0.239 0.429
Sm3 Sm 0.363 0.959 0.681
Sm4 Sm 0.450 0.450 0.156
Sm5 Sm 0.550 0.550 0.844
Sm6 Sm 0.637 0.041 0.319
Sm7 Sm 0.761 0.761 0.571
Sm8 Sm 0.959 0.363 0.681
# V, Å³ per cell: 347.92

---

#P wins, 115 meV per atom ahead of the next structure.

---

#P
# LaSm | Alexandria via LeMat-Bulk | GGA-PBE | relaxed
data_LaSm
_cell_length_a 4.149
_cell_length_b 4.149
_cell_length_c 4.149
_cell_angle_alpha 90.00
_cell_angle_beta 90.00
_cell_angle_gamma 90.00
_symmetry_space_group_name_H-M 'P 1'
_symmetry_Int_Tables_number 1
_symmetry_space_group_name_Hall 'P 1'
loop_
_atom_site_label
_atom_site_type_symbol
_atom_site_fract_x
_atom_site_fract_y
_atom_site_fract_z
La1 La 0.000 0.000 0.000
Sm1 Sm 0.500 0.500 0.500
# V, Å³ per cell: 71.42

---

#Q
# LaSm | Alexandria via LeMat-Bulk | GGA-PBE | relaxed
data_LaSm
_cell_length_a 3.580
_cell_length_b 5.724
_cell_length_c 7.129
_cell_angle_alpha 90.00
_cell_angle_beta 104.62
_cell_angle_gamma 90.00
_symmetry_space_group_name_H-M 'P 1'
_symmetry_Int_Tables_number 1
_symmetry_space_group_name_Hall 'P 1'
loop_
_atom_site_label
_atom_site_type_symbol
_atom_site_fract_x
_atom_site_fract_y
_atom_site_fract_z
La1 La 0.061 0.250 0.124
La2 La 0.939 0.750 0.876
Sm1 Sm 0.315 0.250 0.630
Sm2 Sm 0.685 0.750 0.370
# V, Å³ per cell: 141.34

---

#R
# LaSm | Alexandria via LeMat-Bulk | GGA-PBE | relaxed
data_LaSm
_cell_length_a 12.251
_cell_length_b 12.251
_cell_length_c 12.251
_cell_angle_alpha 17.29
_cell_angle_beta 17.29
_cell_angle_gamma 17.29
_symmetry_space_group_name_H-M 'P 1'
_symmetry_Int_Tables_number 1
_symmetry_space_group_name_Hall 'P 1'
loop_
_atom_site_label
_atom_site_type_symbol
_atom_site_fract_x
_atom_site_fract_y
_atom_site_fract_z
La1 La 0.124 0.124 0.124
La2 La 0.876 0.876 0.876
Sm1 Sm 0.374 0.374 0.374
Sm2 Sm 0.626 0.626 0.626
# V, Å³ per cell: 141.67

---

#R wins, 42 meV per atom ahead of the next structure.

---

#P
# LaSmSn | Alexandria via LeMat-Bulk | GGA-PBE | relaxed
data_LaSmSn
_cell_length_a 5.234
_cell_length_b 5.234
_cell_length_c 3.978
_cell_angle_alpha 90.00
_cell_angle_beta 90.00
_cell_angle_gamma 120.00
_symmetry_space_group_name_H-M 'P 1'
_symmetry_Int_Tables_number 1
_symmetry_space_group_name_Hall 'P 1'
loop_
_atom_site_label
_atom_site_type_symbol
_atom_site_fract_x
_atom_site_fract_y
_atom_site_fract_z
La1 La 0.000 0.000 0.000
Sm1 Sm 0.333 0.667 0.572
Sn1 Sn 0.667 0.333 0.353
# V, Å³ per cell: 94.39

---

#Q
# LaSmSn | Alexandria via LeMat-Bulk | GGA-PBE | relaxed
data_LaSmSn
_cell_length_a 5.855
_cell_length_b 5.855
_cell_length_c 5.855
_cell_angle_alpha 137.65
_cell_angle_beta 137.65
_cell_angle_gamma 61.44
_symmetry_space_group_name_H-M 'P 1'
_symmetry_Int_Tables_number 1
_symmetry_space_group_name_Hall 'P 1'
loop_
_atom_site_label
_atom_site_type_symbol
_atom_site_fract_x
_atom_site_fract_y
_atom_site_fract_z
La1 La 0.000 0.000 0.000
Sm1 Sm 0.693 0.693 0.000
Sn1 Sn 0.341 0.341 0.000
# V, Å³ per cell: 90.05

---

#Q wins, 110 meV per atom ahead of the next structure.

---

#P
# La2SmSn | Alexandria via LeMat-Bulk | GGA-PBE | relaxed
data_La2SmSn
_cell_length_a 4.935
_cell_length_b 4.935
_cell_length_c 5.089
_cell_angle_alpha 90.00
_cell_angle_beta 90.00
_cell_angle_gamma 90.00
_symmetry_space_group_name_H-M 'P 1'
_symmetry_Int_Tables_number 1
_symmetry_space_group_name_Hall 'P 1'
loop_
_atom_site_label
_atom_site_type_symbol
_atom_site_fract_x
_atom_site_fract_y
_atom_site_fract_z
La1 La 0.000 0.500 0.000
La2 La 0.500 0.000 0.000
Sm1 Sm 0.000 0.000 0.500
Sn1 Sn 0.500 0.500 0.500
# V, Å³ per cell: 123.94

---

#Q
# La2SmSn | Alexandria via LeMat-Bulk | GGA-PBE | relaxed
data_La2SmSn
_cell_length_a 7.015
_cell_length_b 7.015
_cell_length_c 7.015
_cell_angle_alpha 121.04
_cell_angle_beta 101.01
_cell_angle_gamma 107.07
_symmetry_space_group_name_H-M 'P 1'
_symmetry_Int_Tables_number 1
_symmetry_space_group_name_Hall 'P 1'
loop_
_atom_site_label
_atom_site_type_symbol
_atom_site_fract_x
_atom_site_fract_y
_atom_site_fract_z
La1 La 0.293 0.000 0.793
La2 La 0.293 0.500 0.293
La3 La 0.707 0.000 0.207
La4 La 0.707 0.500 0.707
Sm1 Sm 0.181 0.431 0.750
Sm2 Sm 0.819 0.569 0.250
Sn1 Sn 0.207 0.957 0.250
Sn2 Sn 0.793 0.043 0.750
# V, Å³ per cell: 256.92

---

#R
# La2SmSn | Alexandria via LeMat-Bulk | GGA-PBE | relaxed
data_La2SmSn
_cell_length_a 4.333
_cell_length_b 4.333
_cell_length_c 6.990
_cell_angle_alpha 90.00
_cell_angle_beta 90.00
_cell_angle_gamma 90.00
_symmetry_space_group_name_H-M 'P 1'
_symmetry_Int_Tables_number 1
_symmetry_space_group_name_Hall 'P 1'
loop_
_atom_site_label
_atom_site_type_symbol
_atom_site_fract_x
_atom_site_fract_y
_atom_site_fract_z
La1 La 0.000 0.000 0.223
La2 La 0.000 0.000 0.777
Sm1 Sm 0.500 0.500 0.500
Sn1 Sn 0.500 0.500 0.000
# V, Å³ per cell: 131.23

---

#S
# La2SmSn | Alexandria via LeMat-Bulk | GGA-PBE | relaxed
data_La2SmSn
_cell_length_a 11.475
_cell_length_b 11.475
_cell_length_c 11.475
_cell_angle_alpha 18.65
_cell_angle_beta 18.65
_cell_angle_gamma 18.65
_symmetry_space_group_name_H-M 'P 1'
_symmetry_Int_Tables_number 1
_symmetry_space_group_name_Hall 'P 1'
loop_
_atom_site_label
_atom_site_type_symbol
_atom_site_fract_x
_atom_site_fract_y
_atom_site_fract_z
La1 La 0.000 0.000 0.000
La2 La 0.177 0.177 0.177
Sm1 Sm 0.422 0.422 0.422
Sn1 Sn 0.588 0.588 0.588
# V, Å³ per cell: 135.04

---

#P wins, 40 meV per atom ahead of the next structure.